Here is crystalline PuFe2Re at its relaxed geometry from Alexandria. Energies are from PBE-GGA.

Values from the calculation:
energy of formation: 0.18 eV per atom
offset from the most stable computed form: 0 kJ/mol of formula units
space-group type: P4/mmm

Unit cell a=2.9664 b=2.9664 c=6.9888 alpha=90.00 beta=90.00 gamma=90.00
Fractional positions:
Pu: 0.0000 0.0000 0.0000
Fe: 0.5000 0.5000 0.2917
Fe: 0.5000 0.5000 0.7083
Re: 0.0000 0.0000 0.5000

Here is crystalline HoErTh2Sc4 at its relaxed geometry from Alexandria. Energies are from PBE-GGA.

Values from the calculation:
energy of formation: 0.05 eV per atom
space-group type: C2/m

Unit cell a=6.8704 b=6.8704 c=11.5980 alpha=107.27 beta=107.27 gamma=59.96
Fractional positions:
Ho: 0.0000 0.5000 0.0000
Ho: 0.5000 0.0000 0.0000
Er: 0.0000 0.0000 0.0000
Er: 0.0000 0.0000 0.5000
Th: 0.0000 0.5000 0.5000
Th: 0.5000 0.0000 0.5000
Th: 0.5000 0.5000 0.0000
Th: 0.5000 0.5000 0.5000
Sc: 0.2518 0.2518 0.2559
Sc: 0.2545 0.2545 0.7496
Sc: 0.2542 0.7413 0.7498
Sc: 0.2587 0.7458 0.2502
Sc: 0.7413 0.2542 0.7498
Sc: 0.7458 0.2587 0.2502
Sc: 0.7455 0.7455 0.2504
Sc: 0.7482 0.7482 0.7441

Here is crystalline Ac8Te4Ir3Br at its relaxed geometry from Alexandria. Energies are from PBE-GGA.

Values from the calculation:
ΔE_f (raw): -1.186 eV/atom
space-group type: R-3m

Unit cell a=9.4911 b=9.4911 c=9.4911 alpha=56.68 beta=56.68 gamma=56.68
Fractional positions:
Ac: 0.2140 0.7505 0.7505
Ac: 0.2355 0.2355 0.2355
Ac: 0.2495 0.2495 0.7860
Ac: 0.2495 0.7860 0.2495
Ac: 0.7505 0.2140 0.7505
Ac: 0.7505 0.7505 0.2140
Ac: 0.7645 0.7645 0.7645
Ac: 0.7860 0.2495 0.2495
Te: 0.0000 0.0000 0.0000
Te: 0.0000 0.5000 0.5000
Te: 0.5000 0.0000 0.5000
Te: 0.5000 0.5000 0.0000
Ir: 0.0000 0.0000 0.5000
Ir: 0.0000 0.5000 0.0000
Ir: 0.5000 0.0000 0.0000
Br: 0.5000 0.5000 0.5000

Here is crystalline Ca2GeB2Ir5 at its relaxed geometry from Alexandria. Energies are from PBE-GGA.

Values from the calculation:
energy of formation: -0.48 eV per atom
space-group type: P4/mbm

Unit cell a=9.7537 b=9.7537 c=2.9989 alpha=90.00 beta=90.00 gamma=90.00
Fractional positions:
Ca: 0.1767 0.3233 0.0000
Ca: 0.3233 0.8233 0.0000
Ca: 0.6767 0.1767 0.0000
Ca: 0.8233 0.6767 0.0000
Ge: 0.0000 0.0000 0.0000
Ge: 0.5000 0.5000 0.0000
B: 0.1228 0.6228 0.0000
B: 0.3772 0.1228 0.0000
B: 0.6228 0.8772 0.0000
B: 0.8772 0.3772 0.0000
Ir: 0.0000 0.5000 0.5000
Ir: 0.0684 0.7823 0.5000
Ir: 0.2177 0.0684 0.5000
Ir: 0.2823 0.5684 0.5000
Ir: 0.4316 0.2823 0.5000
Ir: 0.5000 0.0000 0.5000
Ir: 0.5684 0.7177 0.5000
Ir: 0.7177 0.4316 0.5000
Ir: 0.7823 0.9316 0.5000
Ir: 0.9316 0.2177 0.5000

Here is crystalline Ce3Zr2NpP6 at its relaxed geometry from Alexandria. Energies are from PBE-GGA.

Values from the calculation:
energy of formation: -1.37 eV per atom
space-group type: C2/m

Unit cell a=8.8131 b=8.8131 c=7.9054 alpha=103.29 beta=103.29 gamma=25.78
Fractional positions:
Ce: 0.0000 0.0000 0.0000
Ce: 0.3342 0.3342 0.6678
Ce: 0.6658 0.6658 0.3322
Zr: 0.3314 0.3314 0.1629
Zr: 0.6686 0.6686 0.8371
Np: 0.0000 0.0000 0.5000
P: 0.1656 0.1656 0.5977
P: 0.1709 0.1709 0.0737
P: 0.4936 0.4936 0.2535
P: 0.5064 0.5064 0.7465
P: 0.8291 0.8291 0.9263
P: 0.8344 0.8344 0.4023

Here is crystalline CoS4Br at its relaxed geometry from Alexandria. Energies are from PBE-GGA.

Values from the calculation:
ΔE_f (raw): -0.093 eV/atom
space-group type: P-1

Unit cell a=6.3948 b=7.4169 c=7.9047 alpha=68.35 beta=86.19 gamma=71.95
Fractional positions:
Co: 0.0245 0.0304 0.2021
Co: 0.9755 0.9696 0.7979
S: 0.0405 0.2634 0.7403
S: 0.1780 0.7951 0.0657
S: 0.2207 0.7765 0.6919
S: 0.2396 0.7962 0.4395
S: 0.7604 0.2038 0.5605
S: 0.7793 0.2235 0.3081
S: 0.8220 0.2049 0.9343
S: 0.9595 0.7366 0.2597
Br: 0.2855 0.2177 0.1303
Br: 0.7145 0.7823 0.8697

Here is crystalline Pr3Nd4ScSe8 at its relaxed geometry from Alexandria. Energies are from PBE-GGA.

Values from the calculation:
ΔE_f (raw): -1.783 eV/atom
space-group type: R-3m

Unit cell a=8.4093 b=8.4093 c=8.4093 alpha=60.13 beta=60.13 gamma=60.13
Fractional positions:
Pr: 0.0000 0.5000 0.5000
Pr: 0.5000 0.0000 0.5000
Pr: 0.5000 0.5000 0.0000
Nd: 0.0000 0.0000 0.5000
Nd: 0.0000 0.5000 0.0000
Nd: 0.5000 0.0000 0.0000
Nd: 0.5000 0.5000 0.5000
Sc: 0.0000 0.0000 0.0000
Se: 0.2376 0.7605 0.7605
Se: 0.2395 0.2395 0.7624
Se: 0.2395 0.7624 0.2395
Se: 0.2490 0.2490 0.2490
Se: 0.7510 0.7510 0.7510
Se: 0.7605 0.2376 0.7605
Se: 0.7605 0.7605 0.2376
Se: 0.7624 0.2395 0.2395

Here is crystalline ScCdAg14 at its relaxed geometry from Alexandria. Energies are from PBE-GGA.

Values from the calculation:
energy of formation: -0.03 eV per atom
space-group type: P4/mmm

Unit cell a=5.9810 b=5.9810 c=8.1638 alpha=90.00 beta=90.00 gamma=90.00
Fractional positions:
Sc: 0.0000 0.0000 0.0000
Cd: 0.5000 0.5000 0.0000
Ag: 0.0000 0.0000 0.5000
Ag: 0.0000 0.5000 0.0000
Ag: 0.0000 0.5000 0.5000
Ag: 0.2494 0.2494 0.2528
Ag: 0.2494 0.2494 0.7472
Ag: 0.2494 0.7506 0.2528
Ag: 0.2494 0.7506 0.7472
Ag: 0.5000 0.0000 0.0000
Ag: 0.5000 0.0000 0.5000
Ag: 0.5000 0.5000 0.5000
Ag: 0.7506 0.2494 0.2528
Ag: 0.7506 0.2494 0.7472
Ag: 0.7506 0.7506 0.2528
Ag: 0.7506 0.7506 0.7472

Here is crystalline Li15Cd2Pd2 at its relaxed geometry from Alexandria. Energies are from PBE-GGA.

Values from the calculation:
energy of formation: -0.06 eV per atom
space-group type: R-3m

Unit cell a=7.2330 b=7.2330 c=7.2330 alpha=68.66 beta=68.66 gamma=68.66
Fractional positions:
Li: 0.0000 0.0000 0.5000
Li: 0.0000 0.3025 0.6975
Li: 0.0000 0.5000 0.0000
Li: 0.0000 0.6975 0.3025
Li: 0.1933 0.5620 0.5620
Li: 0.3025 0.0000 0.6975
Li: 0.3025 0.6975 0.0000
Li: 0.4380 0.4380 0.8067
Li: 0.4380 0.8067 0.4380
Li: 0.5000 0.0000 0.0000
Li: 0.5620 0.1933 0.5620
Li: 0.5620 0.5620 0.1933
Li: 0.6975 0.0000 0.3025
Li: 0.6975 0.3025 0.0000
Li: 0.8067 0.4380 0.4380
Cd: 0.1003 0.1003 0.1003
Cd: 0.8997 0.8997 0.8997
Pd: 0.2903 0.2903 0.2903
Pd: 0.7097 0.7097 0.7097

Here is crystalline RuPtC2 at its relaxed geometry from Alexandria. Energies are from PBE-GGA.

Values from the calculation:
energy of formation: 1.65 eV per atom
offset from the most stable computed form: 391 kJ/mol of formula units
space-group type: Fm-3m

Unit cell a=3.8689 b=3.8689 c=3.8689 alpha=60.00 beta=60.00 gamma=60.00
Fractional positions:
Ru: 0.0000 0.0000 0.0000
Pt: 0.5000 0.5000 0.5000
C: 0.2500 0.2500 0.2500
C: 0.7500 0.7500 0.7500

Here is crystalline CaErCd2 at its relaxed geometry from Alexandria. Energies are from PBE-GGA.

Values from the calculation:
energy of formation: -0.35 eV per atom
space-group type: P4/mmm

Unit cell a=5.3385 b=5.3385 c=3.7304 alpha=90.00 beta=90.00 gamma=90.00
Fractional positions:
Ca: 0.0000 0.0000 0.0000
Er: 0.5000 0.5000 0.0000
Cd: 0.0000 0.5000 0.5000
Cd: 0.5000 0.0000 0.5000

Here is crystalline AcAl2Pt8 at its relaxed geometry from Alexandria. Energies are from PBE-GGA.

Values from the calculation:
energy of formation: -0.46 eV per atom
space-group type: P4/mmm

Unit cell a=5.3705 b=5.3705 c=8.3392 alpha=90.00 beta=90.00 gamma=90.00
Fractional positions:
Ac: 0.0000 0.0000 0.0000
Al: 0.0000 0.5000 0.5000
Al: 0.5000 0.0000 0.5000
Pt: 0.2531 0.2531 0.2934
Pt: 0.2531 0.2531 0.7066
Pt: 0.2531 0.7469 0.2934
Pt: 0.2531 0.7469 0.7066
Pt: 0.7469 0.2531 0.2934
Pt: 0.7469 0.2531 0.7066
Pt: 0.7469 0.7469 0.2934
Pt: 0.7469 0.7469 0.7066

Here is crystalline Cs2Zr3HgO8 at its relaxed geometry from Alexandria. Energies are from PBE-GGA.

Values from the calculation:
ΔE_f (raw): -2.458 eV/atom
space-group type: R3m

Unit cell a=8.2300 b=8.2300 c=8.2300 alpha=47.74 beta=47.74 gamma=47.74
Fractional positions:
Cs: 0.0000 0.0000 0.0000
Cs: 0.3631 0.3631 0.3631
Zr: 0.0018 0.0018 0.4937
Zr: 0.0018 0.4937 0.0018
Zr: 0.4937 0.0018 0.0018
Hg: 0.5570 0.5570 0.5570
O: 0.1779 0.7429 0.7429
O: 0.2179 0.2179 0.2179
O: 0.2703 0.2703 0.8196
O: 0.2703 0.8196 0.2703
O: 0.7429 0.1779 0.7429
O: 0.7429 0.7429 0.1779
O: 0.7867 0.7867 0.7867
O: 0.8196 0.2703 0.2703

Here is crystalline LiTb2Cd8 at its relaxed geometry from Alexandria. Energies are from PBE-GGA.

Values from the calculation:
energy of formation: -0.22 eV per atom
space-group type: C2/m

Unit cell a=8.2808 b=8.2808 c=6.7866 alpha=104.73 beta=104.73 gamma=34.16
Fractional positions:
Li: 0.0000 0.0000 0.0000
Tb: 0.2833 0.2833 0.3394
Tb: 0.7167 0.7167 0.6606
Cd: 0.0927 0.0927 0.4247
Cd: 0.1540 0.1540 0.8811
Cd: 0.3511 0.3511 0.8508
Cd: 0.4793 0.4793 0.2688
Cd: 0.5207 0.5207 0.7312
Cd: 0.6489 0.6489 0.1492
Cd: 0.8460 0.8460 0.1189
Cd: 0.9073 0.9073 0.5753

Here is crystalline PaReSiMo at its relaxed geometry from Alexandria. Energies are from PBE-GGA.

Values from the calculation:
ΔE_f (raw): 0.025 eV/atom
space-group type: F-43m

Unit cell a=4.6034 b=4.6034 c=4.6034 alpha=60.00 beta=60.00 gamma=60.00
Fractional positions:
Pa: 0.0000 0.0000 0.0000
Re: 0.7500 0.7500 0.7500
Si: 0.5000 0.5000 0.5000
Mo: 0.2500 0.2500 0.2500

Here is crystalline ZnIrOs2 at its relaxed geometry from Alexandria. Energies are from PBE-GGA.

Values from the calculation:
energy of formation: 1.53 eV per atom
space-group type: I-42d

Unit cell a=6.6555 b=6.6555 c=6.6555 alpha=129.05 beta=129.05 gamma=74.93
Fractional positions:
Zn: 0.0000 0.0000 0.0000
Zn: 0.7500 0.2500 0.5000
Ir: 0.2500 0.7500 0.5000
Ir: 0.5000 0.5000 0.0000
Os: 0.1387 0.6250 0.0137
Os: 0.3750 0.3887 0.5137
Os: 0.6113 0.1250 0.9863
Os: 0.8750 0.8613 0.4863

Here is crystalline PrScU at its relaxed geometry from Alexandria. Energies are from PBE-GGA.

Values from the calculation:
energy of formation: 0.23 eV per atom
space-group type: C2/m

Unit cell a=8.3266 b=8.3266 c=5.6494 alpha=93.57 beta=93.57 gamma=25.27
Fractional positions:
Pr: 0.0961 0.0961 0.3346
Pr: 0.9039 0.9039 0.6654
Sc: 0.4150 0.4150 0.1625
Sc: 0.5850 0.5850 0.8375
U: 0.2436 0.2436 0.8463
U: 0.7564 0.7564 0.1537

Here is crystalline BaSbCl2 at its relaxed geometry from Alexandria. Energies are from PBE-GGA.

Values from the calculation:
ΔE_f (raw): -1.080 eV/atom
offset from the most stable computed form: 85 kJ/mol of formula units
space-group type: Fm-3m

Unit cell a=5.6283 b=5.6283 c=5.6283 alpha=60.00 beta=60.00 gamma=60.00
Fractional positions:
Ba: 0.0000 0.0000 0.0000
Sb: 0.5000 0.5000 0.5000
Cl: 0.2500 0.2500 0.2500
Cl: 0.7500 0.7500 0.7500

Here is crystalline ZnGa3Si at its relaxed geometry from Alexandria. Energies are from PBE-GGA.

Values from the calculation:
ΔE_f (raw): 0.450 eV/atom
offset from the most stable computed form: 0 kJ/mol of formula units
space-group type: Pm-3m

Unit cell a=4.8568 b=4.8568 c=4.8568 alpha=90.00 beta=90.00 gamma=90.00
Fractional positions:
Zn: 0.0000 0.0000 0.0000
Ga: 0.0000 0.5000 0.5000
Ga: 0.5000 0.0000 0.5000
Ga: 0.5000 0.5000 0.0000
Si: 0.5000 0.5000 0.5000

Here is crystalline Al2AgRu at its relaxed geometry from Alexandria. Energies are from PBE-GGA.

Values from the calculation:
energy of formation: -0.22 eV per atom
space-group type: R-3m

Unit cell a=8.6772 b=8.6772 c=8.6772 alpha=19.35 beta=19.35 gamma=19.35
Fractional positions:
Al: 0.2415 0.2415 0.2415
Al: 0.7585 0.7585 0.7585
Ag: 0.0000 0.0000 0.0000
Ru: 0.5000 0.5000 0.5000

In order of appearance, total moment = 1.65 0.00 0.00 0.00 4.78 0.00 0.00 0.00 0.00 0.00 0.00 0.00 0.00 0.00 0.00 0.00 0.91 2.99 0.00 0.00 μB per formula unit.
In order of appearance, electronic total energy = -10.7423 -6.1172 -5.7917 -7.1117 -8.0639 -4.3082 -6.0096 -2.9762 -2.2175 -6.7863 -2.4442 -5.9047 -7.2668 -1.8964 -9.5242 -6.6193 -7.2317 -3.5146 -2.7052 -5.1254 eV/atom.